Entry from Alexandria: an optimized crystal structure of BaPt2Cl (PBE-GGA).

Unit cell a=4.3076 b=5.9446 c=8.2241 alpha=90.00 beta=90.00 gamma=90.00
Last column: nearest neighbours and their distance in Å.
Space group Imm2 (No. 44)
Inequivalent atoms, fractional coordinates:
Ba: 0.0000 0.0000 0.0000 [2 per cell]  4 Cl 3.22-3.43, 4 Pt 3.31-3.42
Pt: 0.0000 0.0000 0.5297 [2 per cell]  2 Pt 2.47
Pt: 0.0000 0.5000 0.1776 [2 per cell]  2 Pt 2.47
Cl: 0.0000 0.5000 0.7909 [2 per cell]  3 Pt 2.91-3.18, 2 Ba 3.22

Computed properties:
E above lowest polymorph (meV per atom): 235
N(E_F) (states/eV/atom): 0.954
Mass density (g/cm³): 8.88
Formation energy (no corrections) (kcal/mol of atoms): -12.15
Final energy (Ry per atom): -0.3300

=====

Entry from Alexandria: an optimized crystal structure of BaPtCl2 (PBE-GGA).

Unit cell a=13.3047 b=4.4687 c=4.2696 alpha=90.00 beta=108.39 gamma=90.00
Last column: nearest neighbours and their distance in Å.
Space group Cm (No. 8)
Inequivalent atoms, fractional coordinates:
Ba: 0.0000 0.0000 0.0000 [2 per cell]  2 Pt 3.17, 5 Cl 3.19-3.42
Pt: 0.1854 0.0000 0.6823 [2 per cell]  2 Cl 2.30
Cl: 0.2291 0.5000 0.7152 [2 per cell]  2 Pt 2.30
Cl: 0.4368 0.0000 0.4377 [2 per cell]  4 Ba 3.19

Computed properties:
E above lowest polymorph (meV per atom): 69
Mass density (g/cm³): 5.56
Formation energy (no corrections) (kcal/mol of atoms): -28.71
Final energy (Ry per atom): -0.3057

=====

Entry from Alexandria: an optimized crystal structure of BaPt2Cl (PBE-GGA).

Unit cell a=3.7007 b=3.7007 c=8.1098 alpha=90.00 beta=90.00 gamma=90.00
Last column: nearest neighbours and their distance in Å.
Space group P4mm (No. 99)
Inequivalent atoms, fractional coordinates:
Ba: 0.0000 0.0000 0.0000 [1 per cell]  1 Pt 2.97, 4 Cl 3.07
Pt: 0.0000 0.0000 0.6343 [1 per cell]  4 Pt 2.66, 1 Ba 2.97
Pt: 0.5000 0.5000 0.6909 [1 per cell]  4 Pt 2.66
Cl: 0.5000 0.5000 0.1982 [1 per cell]  4 Ba 3.07

Computed properties:
E above lowest polymorph (meV per atom): 19
N(E_F) (states/eV/atom): 0.725
Mass density (g/cm³): 8.42
Formation energy (no corrections) (kcal/mol of atoms): -17.13
Final energy (Ry per atom): -0.3458

=====

Entry from Alexandria: an optimized crystal structure of BaPt2Cl (PBE-GGA).

Unit cell a=3.2368 b=5.3734 c=5.5748 alpha=90.00 beta=90.00 gamma=90.00
Last column: nearest neighbours and their distance in Å.
Space group Pmmm (No. 47)
Inequivalent atoms, fractional coordinates:
Ba: 0.0000 0.0000 0.0000 [1 per cell]  2 Cl 2.79
Pt: 0.5000 0.5000 0.2422 [2 per cell]  2 Pt 2.70-2.87
Cl: 0.0000 0.0000 0.5000 [1 per cell]  2 Ba 2.79

Computed properties:
E above lowest polymorph (meV per atom): 641
N(E_F) (states/eV/atom): 1.195
Mass density (g/cm³): 9.64
Formation energy (no corrections) (kcal/mol of atoms): -2.77
Final energy (Ry per atom): -0.3001

=====

Entry from Alexandria: an optimized crystal structure of BaPtCl2 (PBE-GGA).

Unit cell a=4.2115 b=4.2691 c=5.6125 alpha=90.00 beta=90.00 gamma=90.00
Last column: nearest neighbours and their distance in Å.
Space group Pmmm (No. 47)
Inequivalent atoms, fractional coordinates:
Ba: 0.0000 0.0000 0.0000 [1 per cell]  4 Cl 3.00
Pt: 0.5000 0.0000 0.5000 [1 per cell]  4 Cl 3.00
Cl: 0.0000 0.5000 0.5000 [1 per cell]  4 Pt 3.00
Cl: 0.5000 0.5000 0.0000 [1 per cell]  4 Ba 3.00

Computed properties:
E above lowest polymorph (meV per atom): 421
N(E_F) (states/eV/atom): 0.390
Mass density (g/cm³): 6.64
Formation energy (no corrections) (kcal/mol of atoms): -20.59
Final energy (Ry per atom): -0.2798

=====

Entry from Alexandria: an optimized crystal structure of BaPtCl2 (PBE-GGA).

Unit cell a=5.7495 b=5.7495 c=11.0231 alpha=90.00 beta=90.00 gamma=120.00
Last column: nearest neighbours and their distance in Å.
Space group R-3m (No. 166, hexagonal axes)
Inequivalent atoms, fractional coordinates:
Ba: 0.0000 0.0000 0.0000 [3 per cell]  8 Cl 3.22-3.35
Pt: 0.0000 0.0000 0.5000 [3 per cell]  2 Cl 2.29
Cl: 0.0000 0.0000 0.2925 [6 per cell]  1 Pt 2.29

Computed properties:
E above lowest polymorph (meV per atom): 0
N(E_F) (states/eV/atom): 0.000
Mass density (g/cm³): 6.37
Formation energy (no corrections) (kcal/mol of atoms): -30.29
Final energy (Ry per atom): -0.3107

=====

Entry from Alexandria: an optimized crystal structure of BaPtCl2 (PBE-GGA).

Unit cell a=4.2324 b=4.2324 c=11.3246 alpha=90.00 beta=90.00 gamma=90.00
Last column: nearest neighbours and their distance in Å.
Space group I-4m2 (No. 119)
Inequivalent atoms, fractional coordinates:
Ba: 0.0000 0.0000 0.0000 [2 per cell]  4 Cl 2.99
Pt: 0.0000 0.5000 0.2500 [2 per cell]  4 Cl 2.99
Cl: 0.0000 0.0000 0.5000 [2 per cell]  4 Ba 2.99
Cl: 0.0000 0.5000 0.7500 [2 per cell]  4 Pt 2.99

Computed properties:
E above lowest polymorph (meV per atom): 420
N(E_F) (states/eV/atom): 0.413
Mass density (g/cm³): 6.60
Formation energy (no corrections) (kcal/mol of atoms): -20.60
Final energy (Ry per atom): -0.2798

=====

Entry from Alexandria: an optimized crystal structure of BaPt2Cl (PBE-GGA).

Unit cell a=7.1737 b=7.1760 c=5.0743 alpha=90.00 beta=134.92 gamma=90.00
Last column: nearest neighbours and their distance in Å.
Space group C2 (No. 5)
Inequivalent atoms, fractional coordinates:
Ba: 0.0000 0.0000 0.0000 [2 per cell]  4 Pt 3.11, 4 Cl 3.11
Pt: 0.0000 0.2500 0.5000 [2 per cell]  4 Pt 3.11, 4 Ba 3.11
Pt: 0.0000 0.5007 0.0000 [2 per cell]  4 Cl 3.10-3.11, 4 Pt 3.11
Cl: 0.0000 0.7500 0.5000 [2 per cell]  4 Pt 3.10-3.11, 4 Ba 3.11

Computed properties:
E above lowest polymorph (meV per atom): 551
N(E_F) (states/eV/atom): 0.707
Mass density (g/cm³): 10.11
Formation energy (no corrections) (kcal/mol of atoms): -4.85
Final energy (Ry per atom): -0.3067

=====

Entry from Alexandria: an optimized crystal structure of BaPtCl2 (PBE-GGA).

Unit cell a=5.1790 b=5.1790 c=17.0456 alpha=90.00 beta=90.00 gamma=90.00
Last column: nearest neighbours and their distance in Å.
Space group I-42d (No. 122)
Inequivalent atoms, fractional coordinates:
Ba: 0.0000 0.0000 0.0000 [4 per cell]  4 Cl 3.01
Pt: 0.0000 0.0000 0.5000 [4 per cell]  4 Cl 2.65
Cl: 0.1733 0.2500 0.6250 [8 per cell]  2 Pt 2.65

Computed properties:
E above lowest polymorph (meV per atom): 326
N(E_F) (states/eV/atom): 0.012
Mass density (g/cm³): 5.86
Formation energy (no corrections) (kcal/mol of atoms): -22.77
Final energy (Ry per atom): -0.2868

=====

Entry from Alexandria: an optimized crystal structure of BaPtCl2 (PBE-GGA).

Unit cell a=6.8688 b=8.4427 c=5.2575 alpha=90.00 beta=130.54 gamma=90.00
Last column: nearest neighbours and their distance in Å.
Space group C2/m (No. 12)
Inequivalent atoms, fractional coordinates:
Ba: 0.0000 0.0000 0.0000 [2 per cell]  4 Cl 2.91
Pt: 0.0000 0.5000 0.0000 [2 per cell]  4 Cl 2.91
Cl: 0.2500 0.2500 0.5000 [4 per cell]  2 Ba 2.91, 2 Pt 2.91

Computed properties:
E above lowest polymorph (meV per atom): 385
N(E_F) (states/eV/atom): 0.278
Mass density (g/cm³): 5.78
Formation energy (no corrections) (kcal/mol of atoms): -21.41
Final energy (Ry per atom): -0.2824

=====

Entry from Alexandria: an optimized crystal structure of BaRePt2Cl (PBE-GGA).

Unit cell a=5.3452 b=5.3452 c=6.9276 alpha=90.00 beta=90.00 gamma=90.00
Last column: nearest neighbours and their distance in Å.
Space group P4/mmm (No. 123)
Inequivalent atoms, fractional coordinates:
Ba: 0.0000 0.0000 0.0000 [1 per cell]  4 Pt 2.67
Re: 0.0000 0.0000 0.5000 [1 per cell]  2 Ba 3.46, 4 Cl 3.78
Pt: 0.0000 0.5000 0.0000 [2 per cell]  2 Ba 2.67
Cl: 0.5000 0.5000 0.5000 [1 per cell]  4 Re 3.78

Computed properties:
N(E_F) (states/eV/atom): 0.495
Mass density (g/cm³): 6.29
Formation energy (no corrections) (kcal/mol of atoms): 51.31
Final energy (Ry per atom): -0.2525

=====

Entry from Alexandria: an optimized crystal structure of Ba4PtRhCl2 (PBE-GGA).

Unit cell a=7.8210 b=4.5241 c=8.3814 alpha=90.00 beta=108.04 gamma=90.00
Last column: nearest neighbours and their distance in Å.
Space group P2/m (No. 10)
Inequivalent atoms, fractional coordinates:
Ba: 0.2343 0.0000 0.2210 [2 per cell]  2 Rh 3.13, 1 Pt 3.18, 3 Cl 3.39-3.45
Ba: 0.2531 0.5000 0.7792 [2 per cell]  1 Rh 3.10, 2 Pt 3.17, 3 Cl 3.41-3.46
Pt: 0.5000 0.0000 0.0000 [1 per cell]  6 Ba 3.17-3.18
Rh: 0.0000 0.5000 0.0000 [1 per cell]  6 Ba 3.10-3.13
Cl: 0.0000 0.0000 0.5000 [1 per cell]  6 Ba 3.39-3.41
Cl: 0.5000 0.5000 0.5000 [1 per cell]  6 Ba 3.45-3.46

Computed properties:
N(E_F) (states/eV/atom): 0.450
Mass density (g/cm³): 5.41
Formation energy (no corrections) (kcal/mol of atoms): -27.76
Final energy (Ry per atom): -0.3161

=====

Entry from Alexandria: an optimized crystal structure of Ba6Pt2RhCl (PBE-GGA).

Unit cell a=7.8846 b=7.8846 c=22.6225 alpha=90.00 beta=90.00 gamma=120.00
Last column: nearest neighbours and their distance in Å.
Space group R3 (No. 146, hexagonal axes)
Inequivalent atoms, fractional coordinates:
Ba: 0.0069 0.3366 0.0000 [9 per cell]  1 Rh 3.12, 2 Pt 3.22-3.24, 1 Cl 3.40
Ba: 0.0110 0.6952 0.8397 [9 per cell]  1 Rh 3.13, 2 Pt 3.17-3.21, 1 Cl 3.27
Pt: 0.0000 0.0000 0.2490 [3 per cell]  6 Ba 3.17-3.22
Pt: 0.0000 0.0000 0.7477 [3 per cell]  6 Ba 3.21-3.24
Rh: 0.0000 0.0000 0.9257 [3 per cell]  6 Ba 3.12-3.13
Cl: 0.0000 0.0000 0.4308 [3 per cell]  6 Ba 3.27-3.40

Computed properties:
N(E_F) (states/eV/atom): 0.601
Mass density (g/cm³): 5.53
Formation energy (no corrections) (kcal/mol of atoms): -17.34
Final energy (Ry per atom): -0.2965

=====

Entry from Alexandria: an optimized crystal structure of Ba4PtSCl2 (PBE-GGA).

Unit cell a=8.0598 b=4.5150 c=8.1227 alpha=90.00 beta=106.48 gamma=90.00
Last column: nearest neighbours and their distance in Å.
Space group P2/m (No. 10)
Inequivalent atoms, fractional coordinates:
Ba: 0.2368 0.0000 0.2261 [2 per cell]  1 S 3.18, 2 Pt 3.18, 3 Cl 3.32-3.45
Ba: 0.2525 0.5000 0.7805 [2 per cell]  1 Pt 3.06, 2 S 3.20, 1 Cl 3.43
Pt: 0.0000 0.5000 0.0000 [1 per cell]  6 Ba 3.06-3.18
S: 0.5000 0.0000 0.0000 [1 per cell]  6 Ba 3.18-3.20
Cl: 0.0000 0.0000 0.5000 [1 per cell]  6 Ba 3.32-3.43
Cl: 0.5000 0.5000 0.5000 [1 per cell]  6 Ba 3.43-3.45

Computed properties:
N(E_F) (states/eV/atom): 0.650
Mass density (g/cm³): 4.96
Formation energy (no corrections) (kcal/mol of atoms): -38.00
Final energy (Ry per atom): -0.3191

=====

Entry from Alexandria: an optimized crystal structure of Ba6SbPt2Cl3 (PBE-GGA).

Unit cell a=20.7669 b=4.6763 c=9.6734 alpha=90.00 beta=105.24 gamma=90.00
Last column: nearest neighbours and their distance in Å.
Space group C2/m (No. 12)
Inequivalent atoms, fractional coordinates:
Ba: 0.0094 0.0000 0.2543 [4 per cell]  1 Pt 3.20, 2 Sb 3.36, 3 Cl 3.38-3.47
Ba: 0.1688 0.5000 0.1085 [4 per cell]  2 Pt 3.22, 3 Cl 3.37-3.50, 1 Sb 3.39
Ba: 0.1750 0.5000 0.5687 [4 per cell]  3 Pt 3.12-3.21
Sb: 0.0000 0.5000 0.0000 [2 per cell]  6 Ba 3.36-3.39
Pt: 0.1691 0.0000 0.3382 [4 per cell]  6 Ba 3.12-3.22
Cl: 0.0000 0.5000 0.5000 [2 per cell]  6 Ba 3.38-3.52
Cl: 0.1640 0.0000 0.8362 [4 per cell]  6 Ba 3.37-3.54

Computed properties:
N(E_F) (states/eV/atom): 0.610
Mass density (g/cm³): 5.28
Formation energy (no corrections) (kcal/mol of atoms): -32.89
Final energy (Ry per atom): -0.3087

=====

Entry from Alexandria: an optimized crystal structure of Ba4PtSeCl2 (PBE-GGA).

Unit cell a=8.1251 b=4.5710 c=8.2184 alpha=90.00 beta=106.74 gamma=90.00
Last column: nearest neighbours and their distance in Å.
Space group P2/m (No. 10)
Inequivalent atoms, fractional coordinates:
Ba: 0.2248 0.0000 0.2563 [2 per cell]  1 Pt 3.07, 2 Se 3.28, 2 Cl 3.41
Ba: 0.2287 0.5000 0.7313 [2 per cell]  2 Pt 3.20, 1 Se 3.27, 3 Cl 3.30-3.49
Pt: 0.0000 0.0000 0.5000 [1 per cell]  6 Ba 3.07-3.20
Se: 0.0000 0.5000 0.0000 [1 per cell]  6 Ba 3.27-3.28
Cl: 0.5000 0.0000 0.0000 [1 per cell]  6 Ba 3.49
Cl: 0.5000 0.5000 0.5000 [1 per cell]  6 Ba 3.30-3.41

Computed properties:
N(E_F) (states/eV/atom): 0.653
Mass density (g/cm³): 5.08
Formation energy (no corrections) (kcal/mol of atoms): -37.75
Final energy (Ry per atom): -0.3124

=====

Entry from Alexandria: an optimized crystal structure of Ba4PtSe2Cl (PBE-GGA).

Unit cell a=8.0666 b=4.6376 c=8.1044 alpha=90.00 beta=107.89 gamma=90.00
Last column: nearest neighbours and their distance in Å.
Space group P2/m (No. 10)
Inequivalent atoms, fractional coordinates:
Ba: 0.2465 0.0000 0.2426 [2 per cell]  3 Se 3.24-3.36, 2 Pt 3.29, 1 Cl 3.29
Ba: 0.2508 0.5000 0.7667 [2 per cell]  1 Pt 3.17, 3 Se 3.26-3.37, 2 Cl 3.38
Pt: 0.0000 0.5000 0.0000 [1 per cell]  6 Ba 3.17-3.29
Se: 0.5000 0.0000 0.0000 [1 per cell]  6 Ba 3.24-3.26
Se: 0.5000 0.5000 0.5000 [1 per cell]  6 Ba 3.36-3.37
Cl: 0.0000 0.0000 0.5000 [1 per cell]  6 Ba 3.29-3.38

Computed properties:
N(E_F) (states/eV/atom): 0.537
Mass density (g/cm³): 5.40
Formation energy (no corrections) (kcal/mol of atoms): -38.36
Final energy (Ry per atom): -0.3294

=====

Entry from Alexandria: an optimized crystal structure of Ba6TePt2Cl3 (PBE-GGA).

Unit cell a=20.6250 b=4.6321 c=9.7600 alpha=90.00 beta=104.61 gamma=90.00
Last column: nearest neighbours and their distance in Å.
Space group C2/m (No. 12)
Inequivalent atoms, fractional coordinates:
Ba: 0.0130 0.0000 0.2623 [4 per cell]  1 Pt 3.10, 3 Cl 3.34-3.44, 2 Te 3.41
Ba: 0.1738 0.5000 0.1157 [4 per cell]  2 Pt 3.19, 3 Cl 3.36-3.50, 1 Te 3.48
Ba: 0.1753 0.5000 0.5682 [4 per cell]  3 Pt 3.13-3.21
Te: 0.0000 0.5000 0.0000 [2 per cell]  6 Ba 3.41-3.48
Pt: 0.1681 0.0000 0.3366 [4 per cell]  6 Ba 3.10-3.21
Cl: 0.0000 0.5000 0.5000 [2 per cell]  6 Ba 3.34-3.51
Cl: 0.1593 0.0000 0.8408 [4 per cell]  6 Ba 3.36-3.61

Computed properties:
N(E_F) (states/eV/atom): 0.581
Mass density (g/cm³): 5.33
Formation energy (no corrections) (kcal/mol of atoms): -34.90
Final energy (Ry per atom): -0.3091

=====

Entry from Alexandria: an optimized crystal structure of BaTl2PtCl8 (PBE-GGA).

Unit cell a=6.8833 b=6.8833 c=8.3182 alpha=90.00 beta=90.00 gamma=120.00
Last column: nearest neighbours and their distance in Å.
Space group P-3m1 (No. 164)
Inequivalent atoms, fractional coordinates:
Ba: 0.0000 0.0000 0.0000 [1 per cell]  6 Cl 3.30
Tl: 0.3333 0.6667 0.3294 [2 per cell]  1 Cl 2.82
Pt: 0.0000 0.0000 0.5000 [1 per cell]  6 Cl 2.36
Cl: 0.1567 0.3134 0.6737 [6 per cell]  1 Pt 2.36
Cl: 0.3333 0.6667 0.9905 [2 per cell]  1 Tl 2.82

Computed properties:
Mass density (g/cm³): 4.99
Formation energy (no corrections) (kcal/mol of atoms): -25.80
Final energy (Ry per atom): -0.2505

=====

Entry from Alexandria: an optimized crystal structure of BaYPt2Cl (PBE-GGA).

Unit cell a=5.0939 b=5.0939 c=7.6018 alpha=90.00 beta=90.00 gamma=90.00
Last column: nearest neighbours and their distance in Å.
Space group P4/mmm (No. 123)
Inequivalent atoms, fractional coordinates:
Ba: 0.0000 0.0000 0.0000 [1 per cell]  4 Cl 3.60, 2 Y 3.80
Y: 0.0000 0.0000 0.5000 [1 per cell]  4 Pt 2.55
Pt: 0.0000 0.5000 0.5000 [2 per cell]  2 Y 2.55
Cl: 0.5000 0.5000 0.0000 [1 per cell]  4 Ba 3.60

Computed properties:
N(E_F) (states/eV/atom): 0.403
Mass density (g/cm³): 5.49
Formation energy (no corrections) (kcal/mol of atoms): -2.61
Final energy (Ry per atom): -0.3364